Crystalline Sm6DyHo8 at its relaxed geometry. Source: the Alexandria database, functional PBE-GGA.

DFT total energy ... -0.162 Ha/atom
Formation energy from the elements ... 235 meV per atom
Spin magnetization ... 0.00 μB per formula unit
Energy above the most stable polymorph in this dataset ... 111 meV/atom

Lattice parameters (Å, degrees): 9.4366 9.4366 6.5331 90.00 90.00 120.00
Space group P-3 (No. 147)
Inequivalent atoms, fractional coordinates:
Sm (0.0880, 0.6791, 0.0946) [6 per cell]
Dy (0.0000, 0.0000, 0.0000) [1 per cell]
Ho (0.0218, 0.3313, 0.3983) [6 per cell]
Ho (0.3333, 0.6667, 0.6570) [2 per cell]